{"formula": "PmCo4Ru", "functional": "PBE", "state": "optimized geometry", "formation_enthalpy_0k_ev_per_atom": 0.098, "cell": [[0.000, 3.501, 3.501], [3.501, 0.000, 3.501], [3.501, 3.501, 0.000]], "species": ["Pm", "Co", "Co", "Co", "Co", "Ru"], "frac_coords": [[0.000, 0.000, 0.000], [0.375, 0.375, 0.375], [0.375, 0.375, 0.874], [0.375, 0.874, 0.375], [0.874, 0.375, 0.375], [0.750, 0.750, 0.750]]}